# 1
This record from Alexandria describes a geometry-optimized Li4U3PaS8 structure. The functional is GGA-PBE.

It has space group R-3m (No. 166, hexagonal axes), with a = 7.6617 Å, b = 7.6617 Å, c = 19.0584 Å, α = 90.00°, β = 90.00° and γ = 120.00°. The asymmetric unit holds Li at (0.0000, 0.0000, 0.0000), Li at (0.0000, 0.5000, 0.0000), U at (0.0000, 0.5000, 0.5000), Pa at (0.0000, 0.0000, 0.5000), S at (0.0000, 0.0000, 0.2528) and S at (0.0009, 0.5004, 0.2535).

The total energy comes out at -6.6510 eV/atom. The uncorrected formation energy is -1.3988 eV per atom.

---

# 2
This record from Alexandria describes a geometry-optimized Li3UPa2S6 structure. The functional is GGA-PBE.

It has space group C2/m (No. 12), with a = 16.878 Å, b = 3.828 Å, c = 7.761 Å, α = 90.00°, β = 104.24° and γ = 90.00°. The asymmetric unit holds Li at (0.000, 0.000, 0.000), Li at (0.166, 0.500, 0.332), U at (0.000, 0.000, 0.500), Pa at (0.166, 0.500, 0.830), S at (0.002, 0.500, 0.244), S at (0.165, 0.000, 0.089) and S at (0.170, 0.000, 0.575).

The total energy comes out at -6.4992 eV/atom. The uncorrected formation energy is -1.4337 eV per atom.

---

# 3
This record from Alexandria describes a geometry-optimized LiPaVS4 structure. The functional is GGA-PBE.

It has space group Imma (No. 74), with a = 7.401 Å, b = 8.104 Å, c = 9.983 Å, α = 90.00°, β = 90.00° and γ = 90.00°. The asymmetric unit holds Li at (0.000, 0.250, 0.151), Pa at (0.000, 0.000, 0.500), V at (0.250, 0.250, 0.750), S at (0.000, 0.041, 0.761) and S at (0.239, 0.250, 0.500).

The total energy comes out at -6.6362 eV/atom. The uncorrected formation energy is -1.3451 eV per atom.

---

# 4
This record from Alexandria describes a geometry-optimized LiY2PaS4 structure. The functional is GGA-PBE.

It has space group P2/m (No. 10), with a = 6.681 Å, b = 3.855 Å, c = 6.778 Å, α = 90.00°, β = 109.12° and γ = 90.00°. The asymmetric unit holds Li at (0.000, 0.000, 0.000), Y at (0.500, 0.000, 0.500), Y at (0.500, 0.500, 0.000), Pa at (0.000, 0.500, 0.500), S at (0.241, 0.500, 0.243) and S at (0.245, 0.000, 0.757).

The total energy comes out at -6.8935 eV/atom. The uncorrected formation energy is -1.7875 eV per atom.

---

# 5
This record from Alexandria describes a geometry-optimized LiY2PaS5 structure. The functional is GGA-PBE.

It has space group Cmc2_1 (No. 36), with a = 3.854 Å, b = 16.275 Å, c = 11.941 Å, α = 90.00°, β = 90.00° and γ = 90.00°. The asymmetric unit holds Li at (0.000, 0.015, 0.000), Y at (0.000, 0.373, 0.819), Y at (0.000, 0.392, 0.216), Pa at (0.000, 0.300, 0.531), S at (0.000, 0.002, 0.308), S at (0.000, 0.134, 0.531), S at (0.000, 0.188, 0.868), S at (0.000, 0.212, 0.194) and S at (0.000, 0.453, 0.597).

The total energy comes out at -6.7065 eV/atom. The uncorrected formation energy is -1.7093 eV per atom.

---

# 6
This record from Alexandria describes a geometry-optimized LiY2PaS6 structure. The functional is GGA-PBE.

It has space group P4mm (No. 99), with a = 6.368 Å, b = 6.368 Å, c = 6.388 Å, α = 90.00°, β = 90.00° and γ = 90.00°. The asymmetric unit holds Li at (0.000, 0.000, 0.000), Y at (0.000, 0.500, 0.447), Pa at (0.500, 0.500, 0.051), S at (0.000, 0.000, 0.634), S at (0.240, 0.240, 0.206) and S at (0.500, 0.500, 0.636).

The total energy comes out at -6.3199 eV/atom. The uncorrected formation energy is -1.4097 eV per atom.

---

# 7
This record from Alexandria describes a geometry-optimized LiYPa2S4 structure. The functional is GGA-PBE.

It has space group P2/m (No. 10), with a = 6.516 Å, b = 3.784 Å, c = 6.973 Å, α = 90.00°, β = 108.30° and γ = 90.00°. The asymmetric unit holds Li at (0.000, 0.000, 0.000), Y at (0.500, 0.500, 0.000), Pa at (0.000, 0.500, 0.500), Pa at (0.500, 0.000, 0.500), S at (0.238, 0.500, 0.237) and S at (0.244, 0.000, 0.761).

The total energy comes out at -7.1224 eV/atom. The uncorrected formation energy is -1.6375 eV per atom.

---

# 8
This record from Alexandria describes a geometry-optimized Li2Y2PaS6 structure. The functional is GGA-PBE.

It has space group C2/m (No. 12), with a = 6.870 Å, b = 11.845 Å, c = 6.571 Å, α = 90.00°, β = 110.23° and γ = 90.00°. The asymmetric unit holds Li at (0.000, 0.170, 0.000), Y at (0.000, 0.335, 0.500), Pa at (0.000, 0.000, 0.500), S at (0.242, 0.000, 0.255) and S at (0.242, 0.168, 0.745).

The total energy comes out at -6.3934 eV/atom. The uncorrected formation energy is -1.7555 eV per atom.